# Cs3TbHo2Te6, optimized geometry, DFT GGA-PBE
data_Cs3TbHo2Te6
_chemical_formula_sum 'Cs3 Tb1 Ho2 Te6'
_space_group_name_H-M_alt 'P 1'
_space_group_IT_number 1
_cell_length_a 7.879
_cell_length_b 7.879
_cell_length_c 9.297
_cell_angle_alpha 98.12
_cell_angle_beta 98.12
_cell_angle_gamma 120.00
loop_
_space_group_symop_operation_xyz
'x,y,z'
loop_
_atom_site_label
_atom_site_type_symbol
_atom_site_fract_x
_atom_site_fract_y
_atom_site_fract_z
_atom_site_occupancy
Cs1 Cs 0.000 0.000 0.000 1
Cs2 Cs 0.334 0.666 0.000 1
Cs3 Cs 0.666 0.334 0.000 1
Tb1 Tb 0.500 0.500 0.500 1
Ho1 Ho 0.167 0.833 0.500 1
Ho2 Ho 0.833 0.167 0.500 1
Te1 Te 0.102 0.437 0.311 1
Te2 Te 0.228 0.228 0.689 1
Te3 Te 0.437 0.102 0.311 1
Te4 Te 0.563 0.898 0.689 1
Te5 Te 0.772 0.772 0.311 1
Te6 Te 0.898 0.563 0.689 1
# M_tot: 0.0 Bohr magnetons per cell
# Space group: C2/m
# E: -4.32 eV/atom
# Crystal system: monoclinic

# MgSiTe2, optimized geometry, DFT GGA-PBE
data_MgSiTe2
_chemical_formula_sum 'Mg1 Si1 Te2'
_space_group_name_H-M_alt 'P 1'
_space_group_IT_number 1
_cell_length_a 7.327
_cell_length_b 7.327
_cell_length_c 4.206
_cell_angle_alpha 91.01
_cell_angle_beta 91.01
_cell_angle_gamma 32.38
loop_
_space_group_symop_operation_xyz
'x,y,z'
loop_
_atom_site_label
_atom_site_type_symbol
_atom_site_fract_x
_atom_site_fract_y
_atom_site_fract_z
_atom_site_occupancy
Mg1 Mg 0.000 0.000 0.000 1
Si1 Si 0.667 0.667 0.523 1
Te1 Te 0.198 0.198 0.959 1
Te2 Te 0.472 0.472 0.494 1
# M_tot: 0.0 Bohr magnetons per cell
# Space group: Cm
# E: -3.55 eV/atom
# Energy above the lowest structure with this stoichiometry: 74 meV per atom
# Crystal system: monoclinic

# TeOsSe2, optimized geometry, DFT GGA-PBE
data_TeOsSe2
_chemical_formula_sum 'Te1 Os1 Se2'
_space_group_name_H-M_alt 'P 1'
_space_group_IT_number 1
_cell_length_a 3.780
_cell_length_b 3.780
_cell_length_c 8.409
_cell_angle_alpha 90.78
_cell_angle_beta 90.78
_cell_angle_gamma 49.21
loop_
_space_group_symop_operation_xyz
'x,y,z'
loop_
_atom_site_label
_atom_site_type_symbol
_atom_site_fract_x
_atom_site_fract_y
_atom_site_fract_z
_atom_site_occupancy
Te1 Te 0.000 0.000 0.000 1
Os1 Os 0.500 0.500 0.500 1
Se1 Se 0.195 0.195 0.331 1
Se2 Se 0.805 0.805 0.669 1
# M_tot: 0.0 Bohr magnetons per cell
# Space group: C2/m
# E: -5.20 eV/atom
# Crystal system: monoclinic

# AgRh, optimized geometry, DFT GGA-PBE
data_AgRh
_chemical_formula_sum 'Ag2 Rh2'
_space_group_name_H-M_alt 'P 1'
_space_group_IT_number 1
_cell_length_a 9.500
_cell_length_b 9.500
_cell_length_c 9.500
_cell_angle_alpha 16.96
_cell_angle_beta 16.96
_cell_angle_gamma 16.96
loop_
_space_group_symop_operation_xyz
'x,y,z'
loop_
_atom_site_label
_atom_site_type_symbol
_atom_site_fract_x
_atom_site_fract_y
_atom_site_fract_z
_atom_site_occupancy
Ag1 Ag 0.122 0.122 0.122 1
Ag2 Ag 0.878 0.878 0.878 1
Rh1 Rh 0.371 0.371 0.371 1
Rh2 Rh 0.629 0.629 0.629 1
# M_tot: 0.6 Bohr magnetons per cell
# Space group: R-3m
# E: -4.93 eV/atom
# Formation energy from the elements: 0.17 eV per atom
# Crystal system: trigonal

# HfMg14B, optimized geometry, DFT GGA-PBE
data_HfMg14B
_chemical_formula_sum 'Hf1 Mg14 B1'
_space_group_name_H-M_alt 'P 1'
_space_group_IT_number 1
_cell_length_a 6.318
_cell_length_b 6.318
_cell_length_c 9.804
_cell_angle_alpha 90.00
_cell_angle_beta 90.00
_cell_angle_gamma 120.00
loop_
_space_group_symop_operation_xyz
'x,y,z'
loop_
_atom_site_label
_atom_site_type_symbol
_atom_site_fract_x
_atom_site_fract_y
_atom_site_fract_z
_atom_site_occupancy
Hf1 Hf 0.000 0.000 0.000 1
Mg1 Mg 0.013 0.506 0.000 1
Mg2 Mg 0.157 0.314 0.265 1
Mg3 Mg 0.157 0.314 0.735 1
Mg4 Mg 0.157 0.843 0.265 1
Mg5 Mg 0.157 0.843 0.735 1
Mg6 Mg 0.494 0.506 0.000 1
Mg7 Mg 0.494 0.987 0.000 1
Mg8 Mg 0.505 0.009 0.500 1
Mg9 Mg 0.505 0.495 0.500 1
Mg10 Mg 0.667 0.333 0.240 1
Mg11 Mg 0.667 0.333 0.760 1
Mg12 Mg 0.686 0.843 0.265 1
Mg13 Mg 0.686 0.843 0.735 1
Mg14 Mg 0.991 0.495 0.500 1
B1 B 0.000 0.000 0.500 1
# M_tot: 0.0 Bohr magnetons per cell
# Space group: P-6m2
# E: -2.23 eV/atom
# Formation energy from the elements: 0.21 eV per atom
# Energy above the lowest structure with this stoichiometry: 32 meV per atom
# Crystal system: hexagonal

# Ac2La2IrPd2, optimized geometry, DFT GGA-PBE
data_Ac2La2IrPd2
_chemical_formula_sum 'Ac2 La2 Ir1 Pd2'
_space_group_name_H-M_alt 'P 1'
_space_group_IT_number 1
_cell_length_a 7.610
_cell_length_b 7.610
_cell_length_c 8.159
_cell_angle_alpha 118.25
_cell_angle_beta 118.25
_cell_angle_gamma 32.32
loop_
_space_group_symop_operation_xyz
'x,y,z'
loop_
_atom_site_label
_atom_site_type_symbol
_atom_site_fract_x
_atom_site_fract_y
_atom_site_fract_z
_atom_site_occupancy
Ac1 Ac 0.033 0.033 0.269 1
Ac2 Ac 0.967 0.967 0.731 1
La1 La 0.286 0.286 0.224 1
La2 La 0.714 0.714 0.776 1
Ir1 Ir 0.500 0.500 0.500 1
Pd1 Pd 0.382 0.382 0.949 1
Pd2 Pd 0.618 0.618 0.051 1
# M_tot: 0.0 Bohr magnetons per cell
# Space group: C2/m
# E: -5.99 eV/atom
# Formation energy from the elements: -0.66 eV per atom
# Crystal system: monoclinic